InAg3PtO4: relaxed, PBE.

## Properties
The value obtained for the theoretical density is 7.95 g/cm3. The electronic total energy comes out at -4.1033 eV/atom.

```
data_InAg3PtO4
_chemical_formula_sum 'In1 Ag3 Pt1 O4'
_cell_length_a 5.2617
_cell_length_b 5.2617
_cell_length_c 5.2617
_cell_angle_alpha 90.00
_cell_angle_beta 90.00
_cell_angle_gamma 90.00
_space_group_name_H-M_alt 'P 1'
_space_group_IT_number 1
loop_
_space_group_symop_operation_xyz
'x,y,z'
loop_
_atom_site_label
_atom_site_type_symbol
_atom_site_fract_x
_atom_site_fract_y
_atom_site_fract_z
_atom_site_occupancy
Ag1 Ag 0.0000 0.5000 0.5000 1
Ag2 Ag 0.5000 0.5000 0.0000 1
Ag3 Ag 0.5000 0.0000 0.5000 1
O1 O 0.2275 0.2275 0.2275 1
O2 O 0.7725 0.2275 0.7725 1
O3 O 0.7725 0.7725 0.2275 1
O4 O 0.2275 0.7725 0.7725 1
In1 In 0.0000 0.0000 0.0000 1
Pt1 Pt 0.5000 0.5000 0.5000 1
```